Entry from Alexandria: a PBEsol-optimized structure of PdPbS3 (SCAN).

Geometry as extended XYZ:
```
5
Lattice="-2.7115 -0.2226 -3.8126 3.8142 -0.3942 -2.6896 -0.1930 -4.6619 0.4095" Properties=species:S:1:pos:R:3 pbc="T T T"
Pb 0.4549 -2.6393 -3.0464
S 1.9071 -0.1971 -1.3448
S -0.0965 -2.3309 0.2048
S -1.3558 -0.1113 -1.9063
Pd 0.0000 0.0000 0.0000
```

## Properties
The magnetization comes out at 0.001 Bohr magnetons per cell. The uncorrected formation energy is 0.060 eV per atom.


Entry from Alexandria: a PBEsol-optimized structure of SbPdPbW2 (SCAN).

Geometry as extended XYZ:
```
5
Lattice="5.0158 0.0000 0.0000 0.0000 5.0158 0.0000 0.0000 0.0000 5.4189" Properties=species:S:1:pos:R:3 pbc="T T T"
Pb 0.0000 0.0000 0.0000
Sb 0.0000 0.0000 2.7094
Pd 2.5079 2.5079 2.7094
W 0.0000 2.5079 0.0000
W 2.5079 0.0000 0.0000
```

## Properties
The magnetization comes out at 3.089 Bohr magnetons per cell. The uncorrected formation energy is 3.010 eV per atom.


Entry from Alexandria: a PBEsol-optimized structure of PdPb3Se (SCAN).

Geometry as extended XYZ:
```
5
Lattice="5.2520 0.0000 0.0000 0.0000 5.2520 0.0000 0.0000 0.0000 5.2520" Properties=species:S:1:pos:R:3 pbc="T T T"
Pb 0.0000 2.6260 0.0000
Pb 0.0000 0.0000 2.6260
Pb 2.6260 0.0000 0.0000
Se 2.6260 2.6260 2.6260
Pd 0.0000 0.0000 0.0000
```

## Properties
The magnetization comes out at 0.000 Bohr magnetons per cell. The uncorrected formation energy is 0.002 eV per atom.


Entry from Alexandria: a PBEsol-optimized structure of PdPb2WSe (SCAN).

Geometry as extended XYZ:
```
5
Lattice="4.7220 0.0000 0.0000 0.0000 5.3586 0.0000 0.0000 0.0000 5.3586" Properties=species:S:1:pos:R:3 pbc="T T T"
Pb 0.0000 0.0000 2.6793
Pb 0.0000 2.6793 0.0000
Se 2.3610 2.6793 2.6793
Pd 2.3610 0.0000 0.0000
W 0.0000 0.0000 0.0000
```

## Properties
The magnetization comes out at 0.003 Bohr magnetons per cell. The uncorrected formation energy is 0.952 eV per atom.